# Rb3NaFe2Cl8

Crystalline Rb3NaFe2Cl8 at its relaxed geometry (GGA-PBE, Alexandria).

```
data_Rb3NaFe2Cl8
_chemical_formula_sum 'Rb3 Na1 Fe2 Cl8'
_cell_length_a 7.386
_cell_length_b 7.386
_cell_length_c 9.312
_cell_angle_alpha 90.00
_cell_angle_beta 90.00
_cell_angle_gamma 120.00
_space_group_name_H-M_alt 'P 1'
_space_group_IT_number 1
loop_
_space_group_symop_operation_xyz
'x,y,z'
loop_
_atom_site_label
_atom_site_fract_x
_atom_site_fract_y
_atom_site_fract_z
Rb1 0.000 0.000 0.000
Rb2 0.333 0.667 0.630
Rb3 0.667 0.333 0.370
Na1 0.000 0.000 0.500
Fe1 0.333 0.667 0.212
Fe2 0.667 0.333 0.788
Cl1 0.169 0.337 0.313
Cl2 0.169 0.831 0.313
Cl3 0.333 0.667 0.971
Cl4 0.337 0.169 0.687
Cl5 0.663 0.831 0.313
Cl6 0.667 0.333 0.029
Cl7 0.831 0.169 0.687
Cl8 0.831 0.663 0.687
```

Calculated values
SG: P-3m1 (164)
Spin magnetization in μB per cell: 8.00
Energy relative to the elements, uncorrected in eV/atom: -1.4045
Crystal system: trigonal
Raw total energy in eV/atom: -3.97